Density functional theory data (GGA+U) for a geometry-optimized PaAgWO6 structure.

Calculated values
The calculation puts the density of states at the Fermi level at 0.0 states/eV per cell. The value obtained for the uncorrected energy is -138.8 eV for the cell shown. Its space group is P-31c.

Cell: 5.6495 5.6495 9.9518 Å, 90.00 90.00 120.00°
With the nearest neighbours (Å) after each atom.
Sites, in units of the cell vectors:
Pa1 0.3333 0.6667 0.2500  6 O 2.19
Pa2 0.6667 0.3333 0.7500  6 O 2.19
Ag1 0.0000 0.0000 0.0000  6 O 2.56
Ag2 0.0000 0.0000 0.5000  6 O 2.56
W1 0.3333 0.6667 0.7500  6 O 1.96
W2 0.6667 0.3333 0.2500  6 O 1.96
O1 0.0298 0.3901 0.6426  1 W 1.96, 1 Pa 2.19
O2 0.0298 0.6397 0.8574  1 W 1.96, 1 Pa 2.19
O3 0.3603 0.3901 0.8574  1 W 1.96, 1 Pa 2.19
O4 0.3603 0.9702 0.6426  1 W 1.96, 1 Pa 2.19
O5 0.3901 0.0298 0.1426  1 W 1.96, 1 Pa 2.19
O6 0.3901 0.3603 0.3574  1 W 1.96, 1 Pa 2.19
O7 0.6099 0.6397 0.6426  1 W 1.96, 1 Pa 2.19
O8 0.6099 0.9702 0.8574  1 W 1.96, 1 Pa 2.19
O9 0.6397 0.0298 0.3574  1 W 1.96, 1 Pa 2.19
O10 0.6397 0.6099 0.1426  1 W 1.96, 1 Pa 2.19
O11 0.9702 0.3603 0.1426  1 W 1.96, 1 Pa 2.19
O12 0.9702 0.6099 0.3574  1 W 1.96, 1 Pa 2.19